Arrangement A

Computed, not measured: an optimized crystal structure of HfZrP2O at the PBE level of DFT.

Lattice parameters (Å, degrees): 5.0325 5.0325 3.9176 90.00 90.00 90.00
Closest atoms and distances in Å follow each position.
Element x y z (fractional)
P 0.5000 0.0000 0.0000  2 Zr 2.52
P 0.0000 0.5000 0.0000  2 Zr 2.52
Zr 0.0000 0.0000 0.0000  2 O 1.96
Hf 0.5000 0.5000 0.5000  8 P 3.19, 4 O 3.56
O 0.0000 0.0000 0.5000  2 Zr 1.96

SG = P4/mmm
Calculated volume = 99.2 Å³/cell
Density of states at the Fermi level = 1.27 states/eV/cell

Arrangement B

Computed, not measured: an optimized crystal structure of HfZrP2O at the PBE level of DFT.

Lattice parameters (Å, degrees): 5.0008 5.0008 3.8885 90.00 90.00 90.00
Closest atoms and distances in Å follow each position.
Element x y z (fractional)
Zr 0.5000 0.5000 0.5000  8 P 3.17, 4 O 3.54
P 0.5000 0.0000 0.0000  2 Hf 2.50
Hf 0.0000 0.0000 0.0000  2 O 1.94
P 0.0000 0.5000 0.0000  2 Hf 2.50
O 0.0000 0.0000 0.5000  2 Hf 1.94

SG = P4/mmm
Calculated volume = 97.2 Å³/cell
Density of states at the Fermi level = 1.48 states/eV/cell

Which is the most stable structure? arrangement B is the most stable.

Arrangement A

Computed, not measured: an optimized crystal structure of HfZrPO2 at the PBE level of DFT.

Lattice parameters (Å, degrees): 3.9942 3.9942 5.4172 90.00 90.00 90.00
Closest atoms and distances in Å follow each position.
Element x y z (fractional)
O 0.0000 0.5000 0.0000  2 Zr 2.00
Hf 0.5000 0.5000 0.5000  4 P 2.82
Zr 0.0000 0.0000 0.0000  4 O 2.00
P 0.0000 0.0000 0.5000  2 Zr 2.71, 4 Hf 2.82
O 0.5000 0.0000 0.0000  2 Zr 2.00

SG = P4/mmm
Calculated volume = 86.4 Å³/cell
Density of states at the Fermi level = 1.89 states/eV/cell

Arrangement B

Computed, not measured: an optimized crystal structure of HfZrPO2 at the PBE level of DFT.

Lattice parameters (Å, degrees): 3.9695 3.9695 5.3307 90.00 90.00 90.00
Closest atoms and distances in Å follow each position.
Element x y z (fractional)
O 0.0000 0.5000 0.0000  2 Hf 1.98
P 0.0000 0.0000 0.5000  2 Hf 2.67, 4 Zr 2.81
O 0.5000 0.0000 0.0000  2 Hf 1.98
Hf 0.0000 0.0000 0.0000  4 O 1.98
Zr 0.5000 0.5000 0.5000  4 P 2.81

SG = P4/mmm
Calculated volume = 84.0 Å³/cell
Density of states at the Fermi level = 2.06 states/eV/cell

Which is the most stable structure? arrangement B is the most stable.

Arrangement A

Computed, not measured: an optimized crystal structure of Hf3PbO at the PBE level of DFT.

Lattice parameters (Å, degrees): 4.5123 4.5123 4.5123 90.00 90.00 90.00
Closest atoms and distances in Å follow each position.
Element x y z (fractional)
Pb 0.5000 0.5000 0.5000  12 Hf 3.19
Hf 0.0000 0.5000 0.0000  2 O 2.26
O 0.0000 0.0000 0.0000  6 Hf 2.26
Hf 0.5000 0.0000 0.0000  2 O 2.26
Hf 0.0000 0.0000 0.5000  2 O 2.26

SG = Pm-3m
Calculated volume = 91.9 Å³/cell
Density of states at the Fermi level = 3.62 states/eV/cell

Arrangement B

Computed, not measured: an optimized crystal structure of Hf3PbO at the PBE level of DFT.

Lattice parameters (Å, degrees): 5.3535 5.3535 5.3535 90.00 90.00 90.00
Closest atoms and distances in Å follow each position.
Element x y z (fractional)
Hf 0.0000 0.5000 0.0000  2 Pb 2.68
Pb 0.0000 0.0000 0.0000  6 Hf 2.68
Hf 0.0000 0.0000 0.5000  2 Pb 2.68
O 0.5000 0.5000 0.5000  12 Hf 3.79
Hf 0.5000 0.0000 0.0000  2 Pb 2.68

SG = Pm-3m
Calculated volume = 153.4 Å³/cell
Density of states at the Fermi level = 7.72 states/eV/cell

Which is the most stable structure? arrangement A is the most stable.

Arrangement A

Computed, not measured: an optimized crystal structure of Hf2PbO at the PBE level of DFT.

Lattice parameters (Å, degrees): 3.4737 3.4737 7.3410 76.31 76.31 60.00
Closest atoms and distances in Å follow each position.
Element x y z (fractional)
O 0.0000 0.0000 0.0000  6 Hf 2.28
Pb 0.5000 0.5000 0.5000  6 Hf 3.16, 6 Pb 3.47
Hf 0.7182 0.7182 0.8453  3 O 2.28
Hf 0.2818 0.2818 0.1547  3 O 2.28

SG = R-3m
Calculated volume = 73.8 Å³/cell
Density of states at the Fermi level = 2.14 states/eV/cell

Arrangement B

Computed, not measured: an optimized crystal structure of Hf2PbO at the PBE level of DFT.

Lattice parameters (Å, degrees): 4.7340 4.7340 4.7340 60.00 60.00 60.00
Closest atoms and distances in Å follow each position.
Element x y z (fractional)
Hf 0.7500 0.7500 0.7500  4 Pb 2.90, 4 O 2.90
O 0.0000 0.0000 0.0000  8 Hf 2.90
Pb 0.5000 0.5000 0.5000  8 Hf 2.90
Hf 0.2500 0.2500 0.2500  4 O 2.90, 4 Pb 2.90

SG = Fm-3m
Calculated volume = 75.0 Å³/cell
Density of states at the Fermi level = 3.80 states/eV/cell

Which is the most stable structure? arrangement A is the most stable.

Arrangement A

Computed, not measured: an optimized crystal structure of HfPb3O at the PBE level of DFT.

Lattice parameters (Å, degrees): 5.6441 5.6441 5.6441 90.00 90.00 90.00
Closest atoms and distances in Å follow each position.
Element x y z (fractional)
Pb 0.5000 0.0000 0.0000  2 Hf 2.82
Pb 0.0000 0.0000 0.5000  2 Hf 2.82
Hf 0.0000 0.0000 0.0000  6 Pb 2.82
O 0.5000 0.5000 0.5000  12 Pb 3.99
Pb 0.0000 0.5000 0.0000  2 Hf 2.82

SG = Pm-3m
Calculated volume = 179.8 Å³/cell
Density of states at the Fermi level = 13.92 states/eV/cell

Arrangement B

Computed, not measured: an optimized crystal structure of HfPb3O at the PBE level of DFT.

Lattice parameters (Å, degrees): 4.9039 4.9039 4.9039 90.00 90.00 90.00
Closest atoms and distances in Å follow each position.
Element x y z (fractional)
Pb 0.0000 0.5000 0.0000  2 O 2.45
Pb 0.5000 0.0000 0.0000  2 O 2.45
Pb 0.0000 0.0000 0.5000  2 O 2.45
Hf 0.5000 0.5000 0.5000  12 Pb 3.47
O 0.0000 0.0000 0.0000  6 Pb 2.45

SG = Pm-3m
Calculated volume = 117.9 Å³/cell
Density of states at the Fermi level = 4.01 states/eV/cell

Which is the most stable structure? arrangement B is the most stable.

Arrangement A

Computed, not measured: an optimized crystal structure of Hf4TiPb5O15 at the PBE level of DFT.

Lattice parameters (Å, degrees): 7.7216 9.8216 8.3485 116.29 94.67 96.44
Closest atoms and distances in Å follow each position.
Element x y z (fractional)
O 0.9460 0.1264 0.7332  2 Hf 2.00-2.01
O 0.1293 0.3010 0.2600  2 Hf 1.97-2.11
O 0.8114 0.0835 0.3647  1 Hf 1.91
Pb 0.3123 0.9587 0.1628  2 O 2.19-2.43
O 0.5801 0.1676 0.6852  1 Hf 1.99
Ti 0.5725 0.6920 0.3867  4 O 1.78-1.92
O 0.7822 0.8037 0.5255  1 Ti 1.83
Pb 0.7203 0.3965 0.9218  3 O 2.30-2.45
Hf 0.3714 0.3612 0.2302  3 O 1.92-2.02
O 0.5016 0.8531 0.3724  1 Ti 1.78
O 0.7972 0.2430 0.0617  1 Hf 2.01
O 0.2682 0.2567 0.9662  2 Hf 2.02-2.09
O 0.0497 0.9571 0.9619  1 Hf 1.96
O 0.3850 0.7988 0.9064  1 Hf 1.93
Pb 0.8030 0.3025 0.3566  3 O 2.19-2.43
O 0.4312 0.5822 0.4852  1 Ti 1.92, 1 Hf 2.07
Hf 0.0198 0.1610 0.9868  5 O 1.96-2.11
O 0.7474 0.6582 0.8020  1 Hf 1.93
Pb 0.2891 0.2043 0.6672  3 O 2.23-2.34
O 0.5622 0.5113 0.1801  1 Ti 1.83
Hf 0.7352 0.0259 0.5411  3 O 1.91-2.00
O 0.4231 0.4477 0.7816  1 Hf 1.93
Hf 0.4940 0.6290 0.7529  4 O 1.93-2.07
O 0.4876 0.2107 0.2633  1 Hf 1.92
Pb 0.9828 0.7342 0.7118  3 O 2.20-2.46

SG = P1
Calculated volume = 558.0 Å³/cell
Density of states at the Fermi level = 0.00 states/eV/cell

Arrangement B

Computed, not measured: an optimized crystal structure of Hf4TiPb5O15 at the PBE level of DFT.

Lattice parameters (Å, degrees): 5.8856 10.0884 13.0458 75.13 77.60 73.45
Closest atoms and distances in Å follow each position.
Element x y z (fractional)
Pb 0.2838 0.6417 0.9411  5 O 2.50-2.71
O 0.8072 0.3419 0.5617  1 Ti 1.90
O 0.2857 0.3699 0.0393  2 Hf 2.04-2.15
O 0.4122 0.5529 0.1569  1 Hf 2.06, 1 Ti 2.16
Hf 0.8296 0.5980 0.7922  6 O 2.03-2.22
O 0.6905 0.6272 0.4496  2 Hf 2.05-2.14
Pb 0.4760 0.5302 0.6296  4 O 2.49-2.67
Pb 0.6726 0.4504 0.3270  5 O 2.51-2.78
O 0.8972 0.5626 0.1539  1 Ti 1.89
Hf 0.2326 0.3949 0.1940  5 O 2.01-2.13
O 0.0044 0.7561 0.7600  2 Hf 2.05-2.12
O 0.9019 0.0267 0.1540  2 Hf 2.03-2.14
O 0.5052 0.2342 0.7476  1 Hf 2.06, 1 Ti 2.14
O 0.3934 0.0636 0.6359  1 Hf 2.07, 1 Ti 2.16
O 0.5101 0.7599 0.7625  2 Hf 2.01-2.14
O 0.8899 0.0424 0.6424  1 Ti 1.89
Pb 0.0941 0.2421 0.7257  3 O 2.47-2.49
O 0.3001 0.8320 0.5524  2 Hf 2.04-2.15
O 0.1115 0.9593 0.3604  2 Hf 2.04-2.14
Pb 0.8776 0.8483 0.5313  5 O 2.51-2.74
Hf 0.0288 0.4981 0.4922  6 O 2.02-2.22
Hf 0.4314 0.2976 0.8914  6 O 2.04-2.15
Hf 0.2335 0.8954 0.6945  5 O 2.01-2.13
O 0.1005 0.4353 0.8471  2 Hf 2.04-2.14
O 0.3148 0.3552 0.5562  1 Hf 2.05, 1 Ti 2.18
Hf 0.0303 0.9981 0.9927  6 O 2.02-2.23
O 0.0852 0.9704 0.8388  2 Hf 2.04-2.13
O 0.8905 0.5631 0.6411  2 Hf 2.03-2.13
O 0.4948 0.7646 0.2381  1 Hf 2.06, 1 Ti 2.14
Hf 0.4297 0.7973 0.3922  6 O 2.04-2.15
O 0.4976 0.2341 0.2497  2 Hf 2.01-2.13
O 0.1849 0.6623 0.4377  2 Hf 2.02-2.15
O 0.3045 0.8330 0.0465  1 Hf 2.06, 1 Ti 2.17
O 0.7860 0.8523 0.0399  1 Ti 1.90
Hf 0.8290 0.0978 0.2926  6 O 2.03-2.21
O 0.0931 0.4351 0.3496  2 Hf 2.04-2.12
Pb 0.6747 0.9494 0.8274  5 O 2.52-2.76
O 0.6138 0.9498 0.3666  2 Hf 2.04-2.14
O 0.9823 0.2656 0.2344  2 Hf 2.04-2.13
O 0.5909 0.4626 0.8422  2 Hf 2.04-2.12
O 0.6926 0.1671 0.4470  1 Ti 1.90
Pb 0.0934 0.7419 0.2252  3 O 2.46-2.48
Ti 0.6443 0.1959 0.5892  3 O 1.89-1.90
Pb 0.2833 0.1407 0.4410  4 O 2.52-2.63
Pb 0.4779 0.0321 0.1293  5 O 2.50-2.78
O 0.7048 0.1512 0.9616  2 Hf 2.05-2.13
O 0.2116 0.1496 0.9621  2 Hf 2.02-2.15
Pb 0.8777 0.3494 0.0315  5 O 2.49-2.73
Ti 0.6432 0.6959 0.0899  3 O 1.89-1.91
O 0.7034 0.6327 0.9587  1 Ti 1.91

SG = P1
Calculated volume = 709.2 Å³/cell
Density of states at the Fermi level = 0.00 states/eV/cell

Which is the most stable structure? arrangement B is the most stable.

Arrangement A

Computed, not measured: an optimized crystal structure of HfTiPb2O6 at the PBE level of DFT.

Lattice parameters (Å, degrees): 5.8328 5.8328 5.8328 121.39 121.39 87.61
Closest atoms and distances in Å follow each position.
Element x y z (fractional)
O 0.5610 0.5610 0.5115  1 Ti 1.99, 1 Hf 2.09
O 0.0495 0.5610 0.0000  1 Ti 1.99, 1 Hf 2.09
O 0.0495 0.0495 0.4885  1 Ti 1.99, 1 Hf 2.09
Pb 0.4945 0.9945 0.5000  6 O 2.57-2.88
Ti 0.7712 0.7712 0.0000  5 O 1.83-1.99
Hf 0.2704 0.2704 0.0000  5 O 1.95-2.09
O 0.5610 0.0495 0.0000  1 Ti 1.99, 1 Hf 2.09
Pb 0.9945 0.4945 0.5000  6 O 2.57-2.88
O 0.0390 0.0390 0.0000  1 Hf 1.95
O 0.5534 0.5534 0.0000  1 Ti 1.83

SG = I4mm
Calculated volume = 137.2 Å³/cell
Density of states at the Fermi level = 0.00 states/eV/cell

Arrangement B

Computed, not measured: an optimized crystal structure of HfTiPb2O6 at the PBE level of DFT.

Lattice parameters (Å, degrees): 5.7739 5.7905 8.0901 90.00 90.00 90.00
Closest atoms and distances in Å follow each position.
Element x y z (fractional)
O 0.5000 0.2296 0.7565  1 Ti 1.98, 1 Hf 2.08
O 0.2408 0.0084 0.5000  1 Hf 2.10, 1 Ti 2.11
O 0.7565 0.5144 0.5000  1 Ti 1.90, 1 Hf 2.08
O 0.2565 0.4856 0.0000  1 Ti 1.90, 1 Hf 2.08
Ti 0.0000 0.7341 0.5000  6 O 1.90-2.11
O 0.7408 0.9916 0.0000  1 Hf 2.10, 1 Ti 2.11
Pb 0.0000 0.2069 0.7425  3 O 2.53-2.67
O 0.0000 0.7704 0.2565  1 Ti 1.98, 1 Hf 2.08
O 0.5000 0.2296 0.2435  1 Ti 1.98, 1 Hf 2.08
Pb 0.5000 0.7931 0.2425  3 O 2.53-2.67
Pb 0.5000 0.7931 0.7575  3 O 2.53-2.67
O 0.7435 0.4856 0.0000  1 Ti 1.90, 1 Hf 2.08
Pb 0.0000 0.2069 0.2575  3 O 2.53-2.67
Ti 0.5000 0.2659 0.0000  6 O 1.90-2.11
O 0.2435 0.5144 0.5000  1 Ti 1.90, 1 Hf 2.08
O 0.7592 0.0084 0.5000  1 Hf 2.10, 1 Ti 2.11
Hf 0.0000 0.7370 0.0000  6 O 2.08-2.10
O 0.0000 0.7704 0.7435  1 Ti 1.98, 1 Hf 2.08
Hf 0.5000 0.2630 0.5000  6 O 2.08-2.10
O 0.2592 0.9916 0.0000  1 Hf 2.10, 1 Ti 2.11

SG = Pmmn
Calculated volume = 270.5 Å³/cell
Density of states at the Fermi level = 0.00 states/eV/cell

Which is the most stable structure? arrangement A is the most stable.

Arrangement A

Computed, not measured: an optimized crystal structure of HfPdO2 at the PBE level of DFT.

Lattice parameters (Å, degrees): 5.0047 5.0047 6.2067 66.22 66.22 90.00
Closest atoms and distances in Å follow each position.
Element x y z (fractional)
Hf 0.7500 0.2500 0.5000  4 O 1.97
O 0.3750 0.2930 0.7500  2 Hf 1.97
O 0.7070 0.1250 0.2500  2 Hf 1.97
Hf 0.0000 0.0000 0.0000  4 O 1.97
O 0.8750 0.9570 0.7500  2 Hf 1.97
Pd 0.5000 0.5000 0.0000  4 O 2.44
Pd 0.2500 0.7500 0.5000  4 O 2.44
O 0.0430 0.6250 0.2500  2 Hf 1.97

SG = I-42d
Calculated volume = 127.7 Å³/cell
Density of states at the Fermi level = 5.23 states/eV/cell

Arrangement B

Computed, not measured: an optimized crystal structure of HfPdO2 at the PBE level of DFT.

Lattice parameters (Å, degrees): 6.2592 6.2592 6.2592 30.62 30.62 30.62
Closest atoms and distances in Å follow each position.
Element x y z (fractional)
Hf 0.5000 0.5000 0.5000  6 O 2.10
O 0.8829 0.8829 0.8829  1 Pd 2.09, 3 Hf 2.10
Pd 0.0000 0.0000 0.0000  2 O 2.09
O 0.1171 0.1171 0.1171  1 Pd 2.09, 3 Hf 2.10

SG = R-3m
Calculated volume = 56.4 Å³/cell
Density of states at the Fermi level = 0.00 states/eV/cell

Arrangement C

Computed, not measured: an optimized crystal structure of HfPdO2 at the PBE level of DFT.

Lattice parameters (Å, degrees): 3.9930 3.9930 3.9930 60.00 60.00 60.00
Closest atoms and distances in Å follow each position.
Element x y z (fractional)
Hf 0.5000 0.5000 0.5000  8 O 2.45
Pd 0.0000 0.0000 0.0000  8 O 2.45
O 0.7500 0.7500 0.7500  4 Pd 2.45, 4 Hf 2.45
O 0.2500 0.2500 0.2500  4 Hf 2.45, 4 Pd 2.45

SG = Fm-3m
Calculated volume = 45.0 Å³/cell
Density of states at the Fermi level = 0.61 states/eV/cell

Which is the most stable structure? arrangement B is the most stable.